No. 1
Density functional theory data (GGA-PBE) for BeNbCuSi after structural relaxation.

## Properties
Crystal system: cubic
Energy above the lowest structure with this stoichiometry (meV per atom): 233
Volume (A^3/atom): 12.978
Calculated total energy (eV for the cell shown): -86.76

CIF file:
```
data_BeNbCuSi
_chemical_formula_sum 'Be4 Nb4 Cu4 Si4'
_symmetry_space_group_name_H-M 'F -4 3 m'
_symmetry_Int_Tables_number 216
_symmetry_space_group_name_Hall 'F -4 2 3'
_cell_length_a 5.9216
_cell_length_b 5.9216
_cell_length_c 5.9216
_cell_angle_alpha 90.00
_cell_angle_beta 90.00
_cell_angle_gamma 90.00
loop_
_atom_site_label
_atom_site_fract_x
_atom_site_fract_y
_atom_site_fract_z
Be1 0.0000 0.0000 0.0000
Nb1 0.2500 0.2500 0.2500
Cu1 0.0000 0.0000 0.5000
Si1 0.2500 0.2500 0.7500
```


No. 2
Density functional theory data (GGA-PBE) for BeNbCuSi after structural relaxation.

## Properties
Crystal system: cubic
Energy above the lowest structure with this stoichiometry (meV per atom): 0
Volume (A^3/atom): 12.962
Calculated total energy (eV for the cell shown): -90.48

CIF file:
```
data_BeNbCuSi
_chemical_formula_sum 'Be4 Nb4 Cu4 Si4'
_symmetry_space_group_name_H-M 'F -4 3 m'
_symmetry_Int_Tables_number 216
_symmetry_space_group_name_Hall 'F -4 2 3'
_cell_length_a 5.9193
_cell_length_b 5.9193
_cell_length_c 5.9193
_cell_angle_alpha 90.00
_cell_angle_beta 90.00
_cell_angle_gamma 90.00
loop_
_atom_site_label
_atom_site_fract_x
_atom_site_fract_y
_atom_site_fract_z
Be1 0.0000 0.0000 0.0000
Nb1 0.2500 0.2500 0.2500
Cu1 0.2500 0.2500 0.7500
Si1 0.0000 0.0000 0.5000
```


No. 3
Density functional theory data (GGA-PBE) for BeNbCuSn after structural relaxation.

## Properties
Crystal system: cubic
Energy above the lowest structure with this stoichiometry (meV per atom): 0
Volume (A^3/atom): 15.289
Calculated total energy (eV for the cell shown): -80.16

CIF file:
```
data_BeNbCuSn
_chemical_formula_sum 'Be4 Nb4 Cu4 Sn4'
_symmetry_space_group_name_H-M 'F -4 3 m'
_symmetry_Int_Tables_number 216
_symmetry_space_group_name_Hall 'F -4 2 3'
_cell_length_a 6.2541
_cell_length_b 6.2541
_cell_length_c 6.2541
_cell_angle_alpha 90.00
_cell_angle_beta 90.00
_cell_angle_gamma 90.00
loop_
_atom_site_label
_atom_site_fract_x
_atom_site_fract_y
_atom_site_fract_z
Be1 0.0000 0.0000 0.0000
Nb1 0.2500 0.2500 0.7500
Cu1 0.0000 0.0000 0.5000
Sn1 0.2500 0.2500 0.2500
```


No. 4
Density functional theory data (GGA-PBE) for BeNbCuSn after structural relaxation.

## Properties
Crystal system: cubic
Energy above the lowest structure with this stoichiometry (meV per atom): 38
Volume (A^3/atom): 15.834
Calculated total energy (eV for the cell shown): -79.55

CIF file:
```
data_BeNbCuSn
_chemical_formula_sum 'Be4 Nb4 Cu4 Sn4'
_symmetry_space_group_name_H-M 'F -4 3 m'
_symmetry_Int_Tables_number 216
_symmetry_space_group_name_Hall 'F -4 2 3'
_cell_length_a 6.3275
_cell_length_b 6.3275
_cell_length_c 6.3275
_cell_angle_alpha 90.00
_cell_angle_beta 90.00
_cell_angle_gamma 90.00
loop_
_atom_site_label
_atom_site_fract_x
_atom_site_fract_y
_atom_site_fract_z
Be1 0.0000 0.0000 0.0000
Nb1 0.2500 0.2500 0.2500
Cu1 0.2500 0.2500 0.7500
Sn1 0.0000 0.0000 0.5000
```


No. 5
Density functional theory data (GGA-PBE) for Nd2BeCuSi2 after structural relaxation.

## Properties
Crystal system: hexagonal
Volume (A^3/atom): 19.817
Calculated total energy (eV for the cell shown): -31.33

CIF file:
```
data_Nd2BeCuSi2
_chemical_formula_sum 'Nd2 Be1 Cu1 Si2'
_symmetry_space_group_name_H-M 'P -6 m 2'
_symmetry_Int_Tables_number 187
_symmetry_space_group_name_Hall 'P -6 2'
_cell_length_a 4.0234
_cell_length_b 4.0234
_cell_length_c 8.4815
_cell_angle_alpha 90.00
_cell_angle_beta 90.00
_cell_angle_gamma 120.00
loop_
_atom_site_label
_atom_site_fract_x
_atom_site_fract_y
_atom_site_fract_z
Nd1 0.0000 0.0000 0.2488
Be1 0.6667 0.3333 0.0000
Cu1 0.3333 0.6667 0.5000
Si1 0.3333 0.6667 0.0000
Si2 0.6667 0.3333 0.5000
```


No. 6
Density functional theory data (GGA-PBE) for Be2Cu4Ni after structural relaxation.

## Properties
Crystal system: tetragonal
Volume (A^3/atom): 10.933
Calculated total energy (eV for the cell shown): -54.34

CIF file:
```
data_Be2Cu4Ni
_chemical_formula_sum 'Be4 Cu8 Ni2'
_symmetry_space_group_name_H-M 'I 4/m m m'
_symmetry_Int_Tables_number 139
_symmetry_space_group_name_Hall '-I 4 2'
_cell_length_a 5.8235
_cell_length_b 5.8235
_cell_length_c 4.5132
_cell_angle_alpha 90.00
_cell_angle_beta 90.00
_cell_angle_gamma 90.00
loop_
_atom_site_label
_atom_site_fract_x
_atom_site_fract_y
_atom_site_fract_z
Be1 0.0000 0.5000 0.2500
Cu1 0.2030 0.2030 0.0000
Ni1 0.0000 0.0000 0.5000
```


No. 7
Density functional theory data (GGA-PBE) for Be3CuNi after structural relaxation.

## Properties
Crystal system: cubic
Volume (A^3/atom): 11.836
Calculated total energy (eV for the cell shown): -17.96

CIF file:
```
data_Be3CuNi
_chemical_formula_sum 'Be3 Cu1 Ni1'
_symmetry_space_group_name_H-M 'P m -3 m'
_symmetry_Int_Tables_number 221
_symmetry_space_group_name_Hall '-P 4 2 3'
_cell_length_a 3.8969
_cell_length_b 3.8969
_cell_length_c 3.8969
_cell_angle_alpha 90.00
_cell_angle_beta 90.00
_cell_angle_gamma 90.00
loop_
_atom_site_label
_atom_site_fract_x
_atom_site_fract_y
_atom_site_fract_z
Be1 0.0000 0.0000 0.5000
Cu1 0.5000 0.5000 0.5000
Ni1 0.0000 0.0000 0.0000
```


No. 8
Density functional theory data (GGA-PBE) for BeCuNi after structural relaxation.

## Properties
Crystal system: cubic
Energy above the lowest structure with this stoichiometry (meV per atom): 0
Volume (A^3/atom): 10.927
Calculated total energy (eV for the cell shown): -51.30

CIF file:
```
data_BeCuNi
_chemical_formula_sum 'Be4 Cu4 Ni4'
_symmetry_space_group_name_H-M 'F -4 3 m'
_symmetry_Int_Tables_number 216
_symmetry_space_group_name_Hall 'F -4 2 3'
_cell_length_a 5.0803
_cell_length_b 5.0803
_cell_length_c 5.0803
_cell_angle_alpha 90.00
_cell_angle_beta 90.00
_cell_angle_gamma 90.00
loop_
_atom_site_label
_atom_site_fract_x
_atom_site_fract_y
_atom_site_fract_z
Be1 0.0000 0.0000 0.0000
Cu1 0.2500 0.2500 0.7500
Ni1 0.2500 0.2500 0.2500
```


No. 9
Density functional theory data (GGA-PBE) for BeCuNiPb after structural relaxation.

## Properties
Crystal system: cubic
Energy above the lowest structure with this stoichiometry (meV per atom): 34
Volume (A^3/atom): 14.059
Calculated total energy (eV for the cell shown): -61.02

CIF file:
```
data_BeCuNiPb
_chemical_formula_sum 'Be4 Cu4 Ni4 Pb4'
_symmetry_space_group_name_H-M 'F -4 3 m'
_symmetry_Int_Tables_number 216
_symmetry_space_group_name_Hall 'F -4 2 3'
_cell_length_a 6.0817
_cell_length_b 6.0817
_cell_length_c 6.0817
_cell_angle_alpha 90.00
_cell_angle_beta 90.00
_cell_angle_gamma 90.00
loop_
_atom_site_label
_atom_site_fract_x
_atom_site_fract_y
_atom_site_fract_z
Be1 0.0000 0.0000 0.0000
Cu1 0.2500 0.2500 0.2500
Ni1 0.0000 0.0000 0.5000
Pb1 0.2500 0.2500 0.7500
```


No. 10
Density functional theory data (GGA-PBE) for BeCuNiPb after structural relaxation.

## Properties
Crystal system: cubic
Energy above the lowest structure with this stoichiometry (meV per atom): 0
Volume (A^3/atom): 14.157
Calculated total energy (eV for the cell shown): -61.56

CIF file:
```
data_BeCuNiPb
_chemical_formula_sum 'Be4 Cu4 Ni4 Pb4'
_symmetry_space_group_name_H-M 'F -4 3 m'
_symmetry_Int_Tables_number 216
_symmetry_space_group_name_Hall 'F -4 2 3'
_cell_length_a 6.0958
_cell_length_b 6.0958
_cell_length_c 6.0958
_cell_angle_alpha 90.00
_cell_angle_beta 90.00
_cell_angle_gamma 90.00
loop_
_atom_site_label
_atom_site_fract_x
_atom_site_fract_y
_atom_site_fract_z
Be1 0.0000 0.0000 0.0000
Cu1 0.2500 0.2500 0.7500
Ni1 0.2500 0.2500 0.2500
Pb1 0.0000 0.0000 0.5000
```


No. 11
Density functional theory data (GGA-PBE) for BeCuNiSb after structural relaxation.

## Properties
Crystal system: cubic
Energy above the lowest structure with this stoichiometry (meV per atom): 0
Volume (A^3/atom): 13.578
Calculated total energy (eV for the cell shown): -65.78

CIF file:
```
data_BeCuNiSb
_chemical_formula_sum 'Be4 Cu4 Ni4 Sb4'
_symmetry_space_group_name_H-M 'F -4 3 m'
_symmetry_Int_Tables_number 216
_symmetry_space_group_name_Hall 'F -4 2 3'
_cell_length_a 6.0116
_cell_length_b 6.0116
_cell_length_c 6.0116
_cell_angle_alpha 90.00
_cell_angle_beta 90.00
_cell_angle_gamma 90.00
loop_
_atom_site_label
_atom_site_fract_x
_atom_site_fract_y
_atom_site_fract_z
Be1 0.0000 0.0000 0.0000
Cu1 0.2500 0.2500 0.7500
Ni1 0.2500 0.2500 0.2500
Sb1 0.0000 0.0000 0.5000
```


No. 12
Density functional theory data (GGA-PBE) for BeCuNiSb after structural relaxation.

## Properties
Crystal system: cubic
Energy above the lowest structure with this stoichiometry (meV per atom): 49
Volume (A^3/atom): 13.556
Calculated total energy (eV for the cell shown): -64.99

CIF file:
```
data_BeCuNiSb
_chemical_formula_sum 'Be4 Cu4 Ni4 Sb4'
_symmetry_space_group_name_H-M 'F -4 3 m'
_symmetry_Int_Tables_number 216
_symmetry_space_group_name_Hall 'F -4 2 3'
_cell_length_a 6.0083
_cell_length_b 6.0083
_cell_length_c 6.0083
_cell_angle_alpha 90.00
_cell_angle_beta 90.00
_cell_angle_gamma 90.00
loop_
_atom_site_label
_atom_site_fract_x
_atom_site_fract_y
_atom_site_fract_z
Be1 0.0000 0.0000 0.0000
Cu1 0.2500 0.2500 0.2500
Ni1 0.0000 0.0000 0.5000
Sb1 0.2500 0.2500 0.7500
```


No. 13
Density functional theory data (GGA-PBE) for BeCuSiNi after structural relaxation.

## Properties
Crystal system: cubic
Energy above the lowest structure with this stoichiometry (meV per atom): 0
Volume (A^3/atom): 10.405
Calculated total energy (eV for the cell shown): -78.01

CIF file:
```
data_BeCuSiNi
_chemical_formula_sum 'Be4 Cu4 Si4 Ni4'
_symmetry_space_group_name_H-M 'F -4 3 m'
_symmetry_Int_Tables_number 216
_symmetry_space_group_name_Hall 'F -4 2 3'
_cell_length_a 5.5011
_cell_length_b 5.5011
_cell_length_c 5.5011
_cell_angle_alpha 90.00
_cell_angle_beta 90.00
_cell_angle_gamma 90.00
loop_
_atom_site_label
_atom_site_fract_x
_atom_site_fract_y
_atom_site_fract_z
Be1 0.0000 0.0000 0.0000
Cu1 0.2500 0.2500 0.7500
Si1 0.0000 0.0000 0.5000
Ni1 0.2500 0.2500 0.2500
```


No. 14
Density functional theory data (GGA-PBE) for BeCuSiNi after structural relaxation.

## Properties
Crystal system: cubic
Energy above the lowest structure with this stoichiometry (meV per atom): 141
Volume (A^3/atom): 10.645
Calculated total energy (eV for the cell shown): -75.76

CIF file:
```
data_BeCuSiNi
_chemical_formula_sum 'Be4 Cu4 Si4 Ni4'
_symmetry_space_group_name_H-M 'F -4 3 m'
_symmetry_Int_Tables_number 216
_symmetry_space_group_name_Hall 'F -4 2 3'
_cell_length_a 5.5432
_cell_length_b 5.5432
_cell_length_c 5.5432
_cell_angle_alpha 90.00
_cell_angle_beta 90.00
_cell_angle_gamma 90.00
loop_
_atom_site_label
_atom_site_fract_x
_atom_site_fract_y
_atom_site_fract_z
Be1 0.0000 0.0000 0.0000
Cu1 0.2500 0.2500 0.2500
Si1 0.2500 0.2500 0.7500
Ni1 0.0000 0.0000 0.5000
```


No. 15
Density functional theory data (GGA-PBE) for BeCu4NiSn2 after structural relaxation.

## Properties
Crystal system: tetragonal
Volume (A^3/atom): 13.788
Calculated total energy (eV for the cell shown): -31.16

CIF file:
```
data_BeCu4NiSn2
_chemical_formula_sum 'Be1 Cu4 Ni1 Sn2'
_symmetry_space_group_name_H-M 'P 4/m m m'
_symmetry_Int_Tables_number 123
_symmetry_space_group_name_Hall '-P 4 2'
_cell_length_a 4.2729
_cell_length_b 4.2729
_cell_length_c 6.0414
_cell_angle_alpha 90.00
_cell_angle_beta 90.00
_cell_angle_gamma 90.00
loop_
_atom_site_label
_atom_site_fract_x
_atom_site_fract_y
_atom_site_fract_z
Be1 0.0000 0.0000 0.0000
Cu1 0.0000 0.5000 0.2409
Ni1 0.5000 0.5000 0.5000
Sn1 0.0000 0.0000 0.5000
Sn2 0.5000 0.5000 0.0000
```


No. 16
Density functional theory data (GGA-PBE) for BeTlCuNi after structural relaxation.

## Properties
Crystal system: cubic
Energy above the lowest structure with this stoichiometry (meV per atom): 20
Volume (A^3/atom): 13.555
Calculated total energy (eV for the cell shown): -56.44

CIF file:
```
data_BeTlCuNi
_chemical_formula_sum 'Be4 Tl4 Cu4 Ni4'
_symmetry_space_group_name_H-M 'F -4 3 m'
_symmetry_Int_Tables_number 216
_symmetry_space_group_name_Hall 'F -4 2 3'
_cell_length_a 6.0081
_cell_length_b 6.0081
_cell_length_c 6.0081
_cell_angle_alpha 90.00
_cell_angle_beta 90.00
_cell_angle_gamma 90.00
loop_
_atom_site_label
_atom_site_fract_x
_atom_site_fract_y
_atom_site_fract_z
Be1 0.0000 0.0000 0.0000
Tl1 0.2500 0.2500 0.2500
Cu1 0.2500 0.2500 0.7500
Ni1 0.0000 0.0000 0.5000
```


No. 17
Density functional theory data (GGA-PBE) for BeTlCuNi after structural relaxation.

## Properties
Crystal system: cubic
Energy above the lowest structure with this stoichiometry (meV per atom): 0
Volume (A^3/atom): 13.696
Calculated total energy (eV for the cell shown): -56.76

CIF file:
```
data_BeTlCuNi
_chemical_formula_sum 'Be4 Tl4 Cu4 Ni4'
_symmetry_space_group_name_H-M 'F -4 3 m'
_symmetry_Int_Tables_number 216
_symmetry_space_group_name_Hall 'F -4 2 3'
_cell_length_a 6.0289
_cell_length_b 6.0289
_cell_length_c 6.0289
_cell_angle_alpha 90.00
_cell_angle_beta 90.00
_cell_angle_gamma 90.00
loop_
_atom_site_label
_atom_site_fract_x
_atom_site_fract_y
_atom_site_fract_z
Be1 0.0000 0.0000 0.0000
Tl1 0.0000 0.0000 0.5000
Cu1 0.2500 0.2500 0.7500
Ni1 0.2500 0.2500 0.2500
```


No. 18
Density functional theory data (GGA-PBE) for NpBeCu after structural relaxation.

## Properties
Crystal system: cubic
Volume (A^3/atom): 17.867
Calculated total energy (eV for the cell shown): -71.44

CIF file:
```
data_NpBeCu
_chemical_formula_sum 'Np4 Be4 Cu4'
_symmetry_space_group_name_H-M 'F -4 3 m'
_symmetry_Int_Tables_number 216
_symmetry_space_group_name_Hall 'F -4 2 3'
_cell_length_a 5.9852
_cell_length_b 5.9852
_cell_length_c 5.9852
_cell_angle_alpha 90.00
_cell_angle_beta 90.00
_cell_angle_gamma 90.00
loop_
_atom_site_label
_atom_site_fract_x
_atom_site_fract_y
_atom_site_fract_z
Np1 0.0000 0.0000 0.0000
Be1 0.0000 0.0000 0.5000
Cu1 0.2500 0.2500 0.7500
```


No. 19
Density functional theory data (GGA-PBE) for Be2CuOs after structural relaxation.

## Properties
Crystal system: cubic
Volume (A^3/atom): 10.974
Calculated total energy (eV for the cell shown): -86.10

CIF file:
```
data_Be2CuOs
_chemical_formula_sum 'Be8 Cu4 Os4'
_symmetry_space_group_name_H-M 'F -4 3 m'
_symmetry_Int_Tables_number 216
_symmetry_space_group_name_Hall 'F -4 2 3'
_cell_length_a 5.5997
_cell_length_b 5.5997
_cell_length_c 5.5997
_cell_angle_alpha 90.00
_cell_angle_beta 90.00
_cell_angle_gamma 90.00
loop_
_atom_site_label
_atom_site_fract_x
_atom_site_fract_y
_atom_site_fract_z
Be1 0.0000 0.0000 0.0000
Be2 0.2500 0.2500 0.2500
Cu1 0.2500 0.2500 0.7500
Os1 0.0000 0.0000 0.5000
```


No. 20
Density functional theory data (GGA-PBE) for BeCuSbOs after structural relaxation.

## Properties
Crystal system: cubic
Energy above the lowest structure with this stoichiometry (meV per atom): 219
Volume (A^3/atom): 14.224
Calculated total energy (eV for the cell shown): -80.84

CIF file:
```
data_BeCuSbOs
_chemical_formula_sum 'Be4 Cu4 Sb4 Os4'
_symmetry_space_group_name_H-M 'F -4 3 m'
_symmetry_Int_Tables_number 216
_symmetry_space_group_name_Hall 'F -4 2 3'
_cell_length_a 6.1054
_cell_length_b 6.1054
_cell_length_c 6.1054
_cell_angle_alpha 90.00
_cell_angle_beta 90.00
_cell_angle_gamma 90.00
loop_
_atom_site_label
_atom_site_fract_x
_atom_site_fract_y
_atom_site_fract_z
Be1 0.0000 0.0000 0.0000
Cu1 0.0000 0.0000 0.5000
Sb1 0.2500 0.2500 0.2500
Os1 0.2500 0.2500 0.7500
```